1.
First-principles (PBE) data for crystalline PmDyY5 at its relaxed geometry, as listed in Alexandria.

Summary:
As for the symmetry: C2/c (15). Its calculated formation energy is 0.8 eV per formula unit. For the magnetization, the calculation gives 0.0 μB per cell. As for the total energy: -5.845 eV/atom.

The structure in POSCAR format:
```
PmDyY5
1.0
-5.906 -2.046 -1.964
2.874 -5.869 -0.467
-1.049 2.126 11.585
Pm Y Dy
2 10 2
direct
0.000 0.000 0.000 Pm
0.000 0.000 0.500 Pm
0.532 0.237 0.464 Y
0.468 0.763 0.536 Y
0.388 0.028 0.835 Y
0.972 0.612 0.665 Y
0.763 0.468 0.036 Y
0.837 0.163 0.750 Y
0.237 0.532 0.964 Y
0.163 0.837 0.250 Y
0.028 0.388 0.335 Y
0.612 0.972 0.165 Y
0.493 0.507 0.750 Dy
0.507 0.493 0.250 Dy
```

***

2.
First-principles (PBE) data for crystalline KVHg at its relaxed geometry, as listed in Alexandria.

Summary:
As for the symmetry: P-6m2 (187). The calculation puts the relative energy among the computed polymorphs at 0.4173 eV/atom. Its calculated formation energy is 2.1 eV per formula unit. For the magnetization, the calculation gives 4.0 μB per cell. As for the total energy: -2.791 eV/atom.

The structure in POSCAR format:
```
KVHg
1.0
4.149 -2.396 0.000
0.000 4.791 0.000
0.000 0.000 4.970
V Hg K
1 1 1
direct
0.333 0.667 0.000 V
0.000 0.000 0.000 Hg
0.667 0.333 0.500 K
```

***

3.
First-principles (PBE) data for crystalline Pu3SiAu2 at its relaxed geometry, as listed in Alexandria.

Summary:
As for the symmetry: Pnma (62). For the uncorrected formation energy, the calculation gives -0.25 eV/atom. For the magnetization, the calculation gives 22.1 μB per cell. As for the total energy: -9.408 eV/atom.

The structure in POSCAR format:
```
Pu3SiAu2
1.0
-1.825 -3.992 -0.068
2.518 -0.983 -9.943
10.888 -5.031 3.255
Au Si Pu
8 4 12
direct
0.750 0.530 0.207 Au
0.750 0.270 0.502 Au
0.250 0.770 0.998 Au
0.750 0.970 0.707 Au
0.250 0.730 0.498 Au
0.250 0.470 0.793 Au
0.250 0.030 0.293 Au
0.750 0.230 0.002 Au
0.750 0.842 0.889 Si
0.750 0.658 0.389 Si
0.250 0.342 0.611 Si
0.250 0.158 0.111 Si
0.250 0.741 0.240 Pu
0.750 0.933 0.446 Pu
0.250 0.047 0.890 Pu
0.250 0.759 0.740 Pu
0.250 0.067 0.554 Pu
0.750 0.259 0.760 Pu
0.750 0.241 0.260 Pu
0.250 0.433 0.054 Pu
0.750 0.953 0.110 Pu
0.750 0.547 0.610 Pu
0.250 0.453 0.390 Pu
0.750 0.567 0.946 Pu
```

***

4.
First-principles (PBE) data for crystalline NaYHf at its relaxed geometry, as listed in Alexandria.

Summary:
As for the symmetry: P6_3/mmc (194). The calculation puts the relative energy among the computed polymorphs at 0.7010 eV/atom. Its calculated formation energy is 2.5 eV per formula unit. For the magnetization, the calculation gives 6.1 μB per cell. As for the total energy: -5.092 eV/atom.

The structure in POSCAR format:
```
NaYHf
1.0
9.523 0.000 0.000
0.000 6.928 0.000
0.000 0.000 5.503
Na Hf Y
4 4 4
direct
0.333 0.750 0.000 Na
0.667 0.250 0.000 Na
0.167 0.250 0.500 Na
0.833 0.750 0.500 Na
0.167 0.750 0.500 Hf
0.333 0.250 0.000 Hf
0.667 0.750 0.000 Hf
0.833 0.250 0.500 Hf
0.000 0.500 0.000 Y
0.000 0.000 0.000 Y
0.500 0.000 0.500 Y
0.500 0.500 0.500 Y
```

***

5.
First-principles (PBE) data for crystalline TmAl2Zn at its relaxed geometry, as listed in Alexandria.

Summary:
As for the symmetry: R-3m (166). Its calculated formation energy is -1.0 eV per formula unit. For the magnetization, the calculation gives 0.0 μB per cell. As for the total energy: -3.548 eV/atom.

The structure in POSCAR format:
```
TmAl2Zn
1.0
-2.519 1.772 -2.938
-3.933 1.252 1.043
-0.359 5.606 0.605
Tm Zn Al
1 1 2
direct
0.000 0.000 0.000 Tm
0.500 0.500 0.500 Zn
0.215 0.215 0.355 Al
0.785 0.785 0.645 Al
```

***

6.
First-principles (PBE) data for crystalline Mg2AsRu at its relaxed geometry, as listed in Alexandria.

Summary:
As for the symmetry: R-3m (166). Its calculated formation energy is 0.0 eV per formula unit. For the magnetization, the calculation gives 0.2 μB per cell. As for the total energy: -4.267 eV/atom.

The structure in POSCAR format:
```
Mg2AsRu
1.0
-6.146 -3.014 5.640
-4.151 -5.296 5.779
-3.766 -2.836 7.513
Ru Mg As
1 2 1
direct
0.250 0.250 0.250 Ru
0.505 0.505 0.505 Mg
0.995 0.995 0.995 Mg
0.750 0.750 0.750 As
```

***

7.
First-principles (PBE) data for crystalline ZrIO2 at its relaxed geometry, as listed in Alexandria.

Summary:
As for the symmetry: Fm-3m (225). For the uncorrected formation energy, the calculation gives -0.68 eV/atom. For the magnetization, the calculation gives 0.0 μB per cell. As for the total energy: -5.684 eV/atom.

The structure in POSCAR format:
```
ZrIO2
1.0
0.000 3.054 3.054
3.054 0.000 3.054
3.054 3.054 0.000
O Zr I
2 1 1
direct
0.750 0.750 0.750 O
0.250 0.250 0.250 O
0.000 0.000 0.000 Zr
0.500 0.500 0.500 I
```

***

8.
First-principles (PBE) data for crystalline BaLaBr at its relaxed geometry, as listed in Alexandria.

Summary:
As for the symmetry: P3m1 (156). For the uncorrected formation energy, the calculation gives -0.80 eV/atom. The calculation puts the relative energy among the computed polymorphs at 0.0000 eV/atom. For the magnetization, the calculation gives 1.3 μB per cell. As for the total energy: -3.645 eV/atom.

The structure in POSCAR format:
```
BaLaBr
1.0
-3.973 -1.263 0.321
2.068 -0.501 -3.600
2.466 -7.145 2.411
Ba La Br
1 1 1
direct
0.000 0.000 0.027 Ba
0.333 0.667 0.623 La
0.667 0.333 0.350 Br
```